CsLi2InBr6 | PBE | optimized geometry Values from VASP.

## Properties
Fermi-level density of states	0.00	states/eV/atom
ΔE_f (raw)	-1.295	eV per atom

Geometry as Quantum ESPRESSO input:
```
&SYSTEM
  ibrav = 0, nat = 10, ntyp = 4
/
ATOMIC_SPECIES
Br 79.90 Br.upf
Cs 132.91 Cs.upf
Li 6.94 Li.upf
In 114.82 In.upf
CELL_PARAMETERS angstrom
9.549 0.518 1.178
5.184 5.808 0.300
6.167 1.826 7.137
ATOMIC_POSITIONS crystal
Br 0.418 0.229 0.269
Cs 0.862 0.713 0.605
Br 0.349 0.378 0.685
Li 0.396 0.782 0.470
Br 0.882 0.547 0.258
Li 0.864 0.944 0.026
Br 0.310 0.775 0.825
In 0.359 0.311 0.987
Br 0.839 0.111 0.727
Br 0.382 0.871 0.163
```

SrV2Ga2 | PBE | optimized geometry Values from VASP.

## Properties
Fermi-level density of states	1.41	states/eV/atom
formation energy from the elements	0.264	eV per atom

Geometry as Quantum ESPRESSO input:
```
&SYSTEM
  ibrav = 0, nat = 5, ntyp = 3
/
ATOMIC_SPECIES
V 50.94 V.upf
Ga 69.72 Ga.upf
Sr 87.62 Sr.upf
CELL_PARAMETERS angstrom
4.471 0.000 0.000
0.000 4.471 0.000
2.236 2.236 5.061
ATOMIC_POSITIONS crystal
V 0.405 0.405 0.190
Ga 0.750 0.250 0.500
Ga 0.250 0.750 0.500
Sr 0.000 0.000 0.000
V 0.595 0.595 0.810
```

LaSn2 | PBE | optimized geometry Values from VASP.

## Properties
Fermi-level density of states	0.48	states/eV/atom
formation energy from the elements	-0.678	eV per atom

Geometry as Quantum ESPRESSO input:
```
&SYSTEM
  ibrav = 0, nat = 6, ntyp = 2
/
ATOMIC_SPECIES
Sn 118.71 Sn.upf
La 138.91 La.upf
CELL_PARAMETERS angstrom
8.383 -0.173 0.000
-7.041 4.552 0.000
0.000 0.000 4.735
ATOMIC_POSITIONS crystal
Sn 0.684 0.316 0.500
Sn 0.500 0.500 0.000
Sn 0.000 0.000 0.500
La 0.854 0.146 0.000
Sn 0.316 0.684 0.500
La 0.146 0.854 0.000
```

Th2Ge5Os3 | PBE | optimized geometry Values from VASP.

## Properties
Fermi-level density of states	0.45	states/eV/atom
formation energy from the elements	-0.484	eV per atom

Geometry as Quantum ESPRESSO input:
```
&SYSTEM
  ibrav = 0, nat = 20, ntyp = 3
/
ATOMIC_SPECIES
Ge 72.64 Ge.upf
Os 190.23 Os.upf
Th 232.04 Th.upf
CELL_PARAMETERS angstrom
-2.143 -2.819 -4.904
2.021 -8.273 0.142
-7.173 -4.214 1.827
ATOMIC_POSITIONS crystal
Ge 0.531 0.219 0.219
Os 0.250 0.000 0.000
Ge 0.406 0.255 0.933
Os 0.647 0.464 0.242
Ge 0.469 0.781 0.781
Ge 0.094 0.067 0.745
Os 0.353 0.536 0.758
Os 0.147 0.242 0.464
Ge 0.031 0.219 0.219
Th 0.135 0.594 0.135
Ge 0.594 0.745 0.067
Th 0.365 0.865 0.406
Ge 0.906 0.933 0.255
Th 0.865 0.406 0.865
Ge 0.250 0.500 0.500
Ge 0.969 0.781 0.781
Ge 0.750 0.500 0.500
Th 0.635 0.135 0.594
Os 0.853 0.758 0.536
Os 0.750 0.000 0.000
```

Tb8Tl2In3 | PBE | optimized geometry Values from VASP.

## Properties
Fermi-level density of states	0.96	states/eV/atom
formation energy from the elements	-0.160	eV per atom

Geometry as Quantum ESPRESSO input:
```
&SYSTEM
  ibrav = 0, nat = 13, ntyp = 3
/
ATOMIC_SPECIES
Tb 158.93 Tb.upf
In 114.82 In.upf
Tl 204.38 Tl.upf
CELL_PARAMETERS angstrom
5.482 0.000 0.769
0.000 8.718 0.000
-1.139 -4.359 8.106
ATOMIC_POSITIONS crystal
Tb 0.500 0.597 0.772
Tb 0.000 0.683 0.366
Tb 0.500 0.825 0.228
In 0.000 0.675 0.000
Tb 0.500 0.175 0.772
Tl 0.500 0.774 0.548
In 0.500 0.000 0.000
Tb 0.000 0.105 0.210
In 0.000 0.325 0.000
Tb 0.000 0.317 0.634
Tb 0.000 0.895 0.790
Tb 0.500 0.403 0.228
Tl 0.500 0.226 0.452
```

CsDyNpO6 | PBE | optimized geometry Values from VASP.

## Properties
Fermi-level density of states	0.89	states/eV/atom
ΔE_f (raw)	-2.501	eV per atom

Geometry as Quantum ESPRESSO input:
```
&SYSTEM
  ibrav = 0, nat = 9, ntyp = 4
/
ATOMIC_SPECIES
O 16.00 O.upf
Dy 162.50 Dy.upf
Cs 132.91 Cs.upf
Np 237.00 Np.upf
CELL_PARAMETERS angstrom
-2.696 0.642 5.203
-4.536 -3.487 1.420
4.086 -4.240 2.641
ATOMIC_POSITIONS crystal
O 0.033 0.596 0.672
O 0.596 0.371 0.672
O 0.596 0.034 0.328
O 0.371 0.034 0.672
Dy 0.667 0.667 0.500
O 0.034 0.371 0.328
O 0.371 0.596 0.328
Cs 0.000 0.000 0.000
Np 0.333 0.333 0.500
```

GaCuSn2Hg | PBE | optimized geometry Values from VASP.

## Properties
Fermi-level density of states	0.63	states/eV/atom
formation energy from the elements	0.179	eV per atom

Geometry as Quantum ESPRESSO input:
```
&SYSTEM
  ibrav = 0, nat = 5, ntyp = 4
/
ATOMIC_SPECIES
Sn 118.71 Sn.upf
Hg 200.59 Hg.upf
Ga 69.72 Ga.upf
Cu 63.55 Cu.upf
CELL_PARAMETERS angstrom
5.178 0.000 0.000
0.000 5.178 0.000
0.000 0.000 4.695
ATOMIC_POSITIONS crystal
Sn 0.000 0.500 0.000
Hg 0.500 0.500 0.500
Ga 0.000 0.000 0.500
Sn 0.500 0.000 0.000
Cu 0.000 0.000 0.000
```

Mg2GaW2 | PBE | optimized geometry Values from VASP.

## Properties
Fermi-level density of states	0.76	states/eV/atom
formation energy from the elements	0.904	eV per atom

Geometry as Quantum ESPRESSO input:
```
&SYSTEM
  ibrav = 0, nat = 5, ntyp = 3
/
ATOMIC_SPECIES
W 183.84 W.upf
Mg 24.30 Mg.upf
Ga 69.72 Ga.upf
CELL_PARAMETERS angstrom
3.642 0.000 0.000
0.000 3.642 0.000
1.821 1.821 6.964
ATOMIC_POSITIONS crystal
W 0.585 0.585 0.831
Mg 0.250 0.750 0.500
Mg 0.750 0.250 0.500
Ga 0.000 0.000 0.000
W 0.415 0.415 0.169
```

Sr6TlIn2 | PBE | optimized geometry Values from VASP.

## Properties
Fermi-level density of states	1.21	states/eV/atom
formation energy from the elements	-0.283	eV per atom

Geometry as Quantum ESPRESSO input:
```
&SYSTEM
  ibrav = 0, nat = 18, ntyp = 3
/
ATOMIC_SPECIES
Sr 87.62 Sr.upf
In 114.82 In.upf
Tl 204.38 Tl.upf
CELL_PARAMETERS angstrom
9.289 0.014 -3.418
-4.892 8.137 -2.798
-0.130 -0.014 9.897
ATOMIC_POSITIONS crystal
Sr 0.296 0.961 0.665
In 0.500 0.623 0.123
Sr 0.907 0.733 0.175
Sr 0.296 0.631 0.335
Sr 0.808 0.254 0.061
In 0.339 0.000 0.339
Sr 0.558 0.733 0.825
Sr 0.808 0.746 0.554
Sr 0.704 0.039 0.335
In 0.500 0.377 0.877
Tl 0.000 0.500 0.500
Sr 0.192 0.746 0.939
Sr 0.192 0.254 0.446
In 0.661 0.000 0.661
Sr 0.093 0.267 0.825
Tl 0.000 0.000 0.000
Sr 0.704 0.369 0.665
Sr 0.442 0.267 0.175
```

HoNpBiO6 | PBE | optimized geometry Values from VASP.

## Properties
Fermi-level density of states	0.03	states/eV/atom
ΔE_f (raw)	-2.566	eV per atom

Geometry as Quantum ESPRESSO input:
```
&SYSTEM
  ibrav = 0, nat = 18, ntyp = 4
/
ATOMIC_SPECIES
Bi 208.98 Bi.upf
Ho 164.93 Ho.upf
Np 237.00 Np.upf
O 16.00 O.upf
CELL_PARAMETERS angstrom
-3.968 0.040 -4.210
5.468 -1.468 -1.192
-2.063 -9.192 1.857
ATOMIC_POSITIONS crystal
Bi 0.000 0.000 0.000
Bi 0.000 0.000 0.500
Ho 0.333 0.667 0.250
Np 0.667 0.333 0.250
O 0.660 0.636 0.136
O 0.660 0.024 0.364
O 0.340 0.976 0.636
Ho 0.667 0.333 0.750
O 0.976 0.340 0.136
O 0.024 0.364 0.636
O 0.636 0.976 0.864
O 0.364 0.024 0.136
O 0.636 0.660 0.636
O 0.024 0.660 0.864
O 0.976 0.636 0.364
O 0.364 0.340 0.364
O 0.340 0.364 0.864
Np 0.333 0.667 0.750
```